The following is a DFT calculation (GGA-PBE) of crystalline MgHgO2 at its relaxed geometry.

The structure in extended XYZ format:
```
8
Lattice="-0.846 2.059 -3.984 2.623 -3.062 -2.139 -2.991 -3.366 -3.719" Properties=species:S:1:pos:R:3 pbc="T T T"
O -0.418 -2.624 -6.496
O 1.944 -2.221 -4.175
O -1.424 -4.708 -4.745
O -0.795 -1.745 -3.347
Mg 0.889 -0.501 -3.062
Mg 0.260 -3.464 -4.460
Hg 0.000 0.000 0.000
Hg -1.474 -0.904 -5.383
```

Results
Its space group is I4_1/amd (141). For the total magnetization, the calculation gives 0.0 Bohr magnetons per cell. As for the uncorrected formation energy: -1.295 eV/atom.


The following is a DFT calculation (GGA-PBE) of crystalline MgHgO2 at its relaxed geometry.

The structure in extended XYZ format:
```
16
Lattice="6.025 0.000 0.000 0.000 7.085 0.000 0.000 0.000 5.659" Properties=species:S:1:pos:R:3 pbc="T T T"
Mg 0.480 6.191 0.001
Mg 5.544 0.894 2.830
Mg 2.532 2.649 2.830
Mg 3.492 4.436 0.001
Hg 0.495 2.657 0.034
Hg 3.507 0.885 0.034
Hg 2.517 6.199 2.864
Hg 5.529 4.428 2.864
O 5.411 4.606 0.526
O 3.355 4.243 3.681
O 5.682 0.701 0.852
O 0.614 2.479 3.356
O 2.670 2.842 0.852
O 0.343 6.384 3.681
O 2.399 6.021 0.526
O 3.626 1.064 3.356
```

Results
Its space group is Pna2_1 (33). For the total magnetization, the calculation gives 0.0 Bohr magnetons per cell. As for the uncorrected formation energy: -1.385 eV/atom.


The following is a DFT calculation (GGA-PBE) of crystalline MgHgO2 at its relaxed geometry.

The structure in extended XYZ format:
```
8
Lattice="6.007 0.000 0.000 0.000 6.007 0.000 3.004 3.004 2.817" Properties=species:S:1:pos:R:3 pbc="T T T"
Mg 6.007 3.004 1.408
Mg 3.004 6.007 1.408
O 1.970 1.034 0.000
O 4.038 4.973 0.000
O 1.034 4.038 0.000
O 4.973 1.970 0.000
Hg 3.004 3.004 1.408
Hg 6.007 6.007 1.408
```

Results
Its space group is I4/mcm (140). For the total magnetization, the calculation gives 0.0 Bohr magnetons per cell. As for the uncorrected formation energy: -1.061 eV/atom.


The following is a DFT calculation (GGA-PBE) of crystalline MgHgO at its relaxed geometry.

The structure in extended XYZ format:
```
6
Lattice="2.845 0.000 -0.024 0.000 5.734 -0.048 -1.175 -2.827 6.897" Properties=species:S:1:pos:R:3 pbc="T T T"
O 1.423 0.000 -0.012
O 1.423 2.867 -0.036
Mg 1.670 1.486 6.836
Mg 0.000 1.422 -0.012
Hg 1.440 2.885 3.048
Hg 0.230 0.022 3.776
```

Results
Its space group is P-1 (2). The excess energy over the best structure of this formula in the dataset comes out at 35 meV per atom. For the total magnetization, the calculation gives 0.0 Bohr magnetons per cell. As for the uncorrected formation energy: -1.506 eV/atom.


The following is a DFT calculation (GGA-PBE) of crystalline MgHgO2 at its relaxed geometry.

The structure in extended XYZ format:
```
4
Lattice="1.979 0.000 5.912 -0.990 1.714 5.912 -0.990 -1.714 5.912" Properties=species:S:1:pos:R:3 pbc="T T T"
O 0.000 0.000 1.943
O 0.000 0.000 11.258
Hg 0.000 0.000 9.004
Mg 0.000 0.000 17.719
```

Results
Its space group is R3m (160). For the total magnetization, the calculation gives 0.0 Bohr magnetons per cell. As for the uncorrected formation energy: -1.328 eV/atom.


The following is a DFT calculation (GGA-PBE) of crystalline MgHgO2 at its relaxed geometry.

The structure in extended XYZ format:
```
8
Lattice="-0.087 -0.423 4.981 -3.951 -3.046 -0.327 0.933 -5.535 2.056" Properties=species:S:1:pos:R:3 pbc="T T T"
O -2.252 -3.363 1.203
O -1.029 -5.618 3.269
O -2.618 -7.021 5.632
O -0.310 -2.006 3.315
Hg 0.000 0.000 0.000
Hg -0.586 -3.846 4.682
Mg -2.518 -5.158 2.028
Mg -2.019 -1.734 2.327
```

Results
Its space group is I-42d (122). For the total magnetization, the calculation gives 0.0 Bohr magnetons per cell. As for the uncorrected formation energy: -1.377 eV/atom.